Record 1
! KCoCl4 (PBE, relaxed); values from VASP
! size of the total moment = 0.0094 μB per atom
! SG = P-1 (2)
! raw formation energy = -0.935 eV/atom
! ΔE to the lowest computed polymorph = 85.6 meV/atom
&SYSTEM
  ibrav = 0, nat = 12, ntyp = 3
/
ATOMIC_SPECIES
K 39.10 K.upf
Co 58.93 Co.upf
Cl 35.45 Cl.upf
CELL_PARAMETERS angstrom
5.935 0.000 -0.008
0.001 6.231 0.032
-2.978 -2.563 7.460
ATOMIC_POSITIONS crystal
K 0.798 0.751 0.002
K 0.202 0.249 0.998
Co 0.500 0.000 0.500
Co 0.000 0.500 0.500
Cl 0.561 0.097 0.793
Cl 0.765 0.402 0.207
Cl 0.439 0.903 0.207
Cl 0.235 0.598 0.793
Cl 0.858 0.843 0.578
Cl 0.279 0.657 0.422
Cl 0.142 0.157 0.422
Cl 0.721 0.343 0.578



Record 2
! KV3Ru (PBE, relaxed); values from VASP
! size of the total moment = 0.0000 μB per atom
! SG = Pm-3m (221)
! ΔE to the lowest computed polymorph = 1385.1 meV/atom
! calculated formation energy = 2.46 eV per atom
&SYSTEM
  ibrav = 0, nat = 5, ntyp = 3
/
ATOMIC_SPECIES
Ru 101.07 Ru.upf
K 39.10 K.upf
V 50.94 V.upf
CELL_PARAMETERS angstrom
4.234 0.000 0.000
0.000 4.234 0.000
0.000 0.000 4.234
ATOMIC_POSITIONS crystal
Ru 0.500 0.500 0.500
K 0.000 0.000 0.000
V 0.000 0.500 0.000
V 0.000 0.000 0.500
V 0.500 0.000 0.000



Record 3
! Ce3Se3N (PBE, relaxed); values from VASP
! size of the total moment = 0.4332 μB per atom
! SG = C2/m (12)
! raw formation energy = -1.708 eV/atom
! ΔE to the lowest computed polymorph = 62.1 meV/atom
&SYSTEM
  ibrav = 0, nat = 14, ntyp = 3
/
ATOMIC_SPECIES
Ce 140.12 Ce.upf
Se 78.96 Se.upf
N 14.01 N.upf
CELL_PARAMETERS angstrom
-2.313 6.539 2.486
1.453 -4.722 5.466
6.881 2.013 -1.089
ATOMIC_POSITIONS crystal
Ce 0.900 0.900 0.184
Ce 0.845 0.545 0.719
Ce 0.545 0.845 0.719
Ce 0.155 0.455 0.281
Ce 0.455 0.155 0.281
Ce 0.100 0.100 0.816
Se 0.607 0.607 0.346
Se 0.165 0.835 0.500
Se 0.835 0.165 0.500
Se 0.241 0.759 0.000
Se 0.759 0.241 0.000
Se 0.393 0.393 0.654
N 0.820 0.820 0.855
N 0.180 0.180 0.145



Record 4
! Pm3Y4Tl (PBE, relaxed); values from VASP
! size of the total moment = 0.0000 μB per atom
! SG = Pmn2_1 (31)
! ΔE to the lowest computed polymorph = 6.3 meV/atom
! calculated formation energy = -0.08 eV per atom
&SYSTEM
  ibrav = 0, nat = 16, ntyp = 3
/
ATOMIC_SPECIES
Pm 145.00 Pm.upf
Y 88.91 Y.upf
Tl 204.38 Tl.upf
CELL_PARAMETERS angstrom
-5.533 -2.684 -1.184
-1.100 -0.822 7.006
-5.017 10.165 0.405
ATOMIC_POSITIONS crystal
Pm 0.626 0.628 0.000
Pm 0.971 0.613 0.238
Pm 0.471 0.387 0.262
Pm 0.126 0.372 0.500
Pm 0.471 0.387 0.738
Pm 0.971 0.613 0.762
Y 0.165 0.875 0.000
Y 0.643 0.130 0.000
Y 0.993 0.124 0.240
Y 0.493 0.876 0.260
Y 0.143 0.870 0.500
Y 0.665 0.125 0.500
Y 0.493 0.876 0.740
Y 0.993 0.124 0.760
Tl 0.153 0.363 0.000
Tl 0.653 0.637 0.500



Record 5
! Rb2YB2 (PBE, relaxed); values from VASP
! size of the total moment = 0.1993 μB per atom
! SG = P4/mbm (127)
! ΔE to the lowest computed polymorph = 0.0 meV/atom
! calculated formation energy = 0.78 eV per atom
&SYSTEM
  ibrav = 0, nat = 10, ntyp = 3
/
ATOMIC_SPECIES
Y 88.91 Y.upf
B 10.81 B.upf
Rb 85.47 Rb.upf
CELL_PARAMETERS angstrom
-0.593 -6.009 -2.992
3.541 -2.832 4.985
-4.961 -0.986 2.964
ATOMIC_POSITIONS crystal
Y 0.000 0.000 0.000
Y 0.500 0.500 0.000
B 0.418 0.918 0.000
B 0.918 0.582 0.000
B 0.582 0.082 0.000
B 0.082 0.418 0.000
Rb 0.180 0.680 0.500
Rb 0.680 0.820 0.500
Rb 0.820 0.320 0.500
Rb 0.320 0.180 0.500



Record 6
! Fe3Sn (PBE, relaxed); values from VASP
! size of the total moment = 1.8338 μB per atom
! SG = P4/mmm (123)
! calculated formation energy = 0.13 eV per atom
&SYSTEM
  ibrav = 0, nat = 4, ntyp = 2
/
ATOMIC_SPECIES
Fe 55.84 Fe.upf
Sn 118.71 Sn.upf
CELL_PARAMETERS angstrom
3.188 0.000 0.000
0.000 3.188 0.000
0.000 0.000 5.567
ATOMIC_POSITIONS crystal
Fe 0.500 0.500 0.218
Fe 0.500 0.500 0.782
Fe 0.000 0.000 0.000
Sn 0.000 0.000 0.500



Record 7
! Sc2Sn4Rh (PBE, relaxed); values from VASP
! size of the total moment = 0.0000 μB per atom
! SG = I4/mmm (139)
! calculated formation energy = -0.08 eV per atom
&SYSTEM
  ibrav = 0, nat = 7, ntyp = 3
/
ATOMIC_SPECIES
Sc 44.96 Sc.upf
Rh 102.91 Rh.upf
Sn 118.71 Sn.upf
CELL_PARAMETERS angstrom
5.173 0.000 0.000
0.000 5.173 0.000
2.586 2.586 7.053
ATOMIC_POSITIONS crystal
Sc 0.391 0.391 0.219
Sc 0.609 0.609 0.781
Rh 0.000 0.000 0.000
Sn 0.188 0.188 0.625
Sn 0.812 0.812 0.375
Sn 0.000 0.500 0.000
Sn 0.500 0.000 0.000



Record 8
! Na10B17C3 (PBE, relaxed); values from VASP
! size of the total moment = 0.0000 μB per atom
! SG = P1 (1)
! ΔE to the lowest computed polymorph = 17.2 meV/atom
! calculated formation energy = 0.22 eV per atom
&SYSTEM
  ibrav = 0, nat = 30, ntyp = 3
/
ATOMIC_SPECIES
Na 22.99 Na.upf
B 10.81 B.upf
C 12.01 C.upf
CELL_PARAMETERS angstrom
7.139 -0.179 -2.597
5.286 4.792 -2.594
0.483 0.184 9.132
ATOMIC_POSITIONS crystal
Na 0.801 0.801 0.004
Na 0.900 0.900 0.500
Na 0.603 0.598 0.000
Na 0.702 0.698 0.499
Na 0.400 0.398 0.996
Na 0.502 0.497 0.500
Na 0.199 0.203 0.006
Na 0.300 0.300 0.500
Na 0.997 0.001 0.993
Na 0.095 0.105 0.501
B 0.591 0.899 0.250
B 0.611 0.285 0.750
B 0.685 0.002 0.750
B 0.527 0.182 0.250
B 0.401 0.698 0.250
B 0.394 0.095 0.750
B 0.520 0.780 0.750
B 0.277 0.013 0.250
B 0.201 0.509 0.250
B 0.207 0.905 0.750
B 0.297 0.611 0.750
B 0.087 0.823 0.250
B 0.014 0.692 0.750
B 0.069 0.420 0.750
B 0.918 0.574 0.250
B 0.881 0.230 0.750
B 0.730 0.369 0.250
C 0.985 0.310 0.250
C 0.790 0.115 0.251
C 0.813 0.487 0.749



Number 1: uncorrected energy -3.533 eV/atom. Number 2: uncorrected energy -5.084 eV/atom. Number 3: uncorrected energy -6.934 eV/atom. Number 4: uncorrected energy -5.391 eV/atom. Number 5: uncorrected energy -3.572 eV/atom. Number 6: uncorrected energy -7.216 eV/atom. Number 7: uncorrected energy -5.228 eV/atom. Number 8: uncorrected energy -4.924 eV/atom.